# 1
{"formula": "CdIrSeBr2", "functional": "PBE", "state": "relaxed", "spacegroup": "P4/mmm", "e_above_lowest_polymorph_ev_per_fu": 0.000, "cell": [[5.2670, 0.0000, 0.0000], [0.0000, 5.2670, 0.0000], [0.0000, 0.0000, 4.7520]], "species": ["Cd", "Ir", "Se", "Br", "Br"], "fractional_positions": [[0.0000, 0.0000, 0.0000], [0.5000, 0.5000, 0.5000], [0.5000, 0.5000, 0.0000], [0.0000, 0.5000, 0.5000], [0.5000, 0.0000, 0.5000]]}

***

# 2
{"formula": "CdTc2IrBr", "functional": "PBE", "state": "relaxed", "spacegroup": "P4/mmm", "cell": [[5.1628, 0.0000, 0.0000], [0.0000, 5.1628, 0.0000], [0.0000, 0.0000, 5.0011]], "species": ["Cd", "Tc", "Tc", "Ir", "Br"], "fractional_positions": [[0.0000, 0.0000, 0.0000], [0.0000, 0.5000, 0.0000], [0.5000, 0.0000, 0.0000], [0.5000, 0.5000, 0.5000], [0.0000, 0.0000, 0.5000]]}

***

# 3
{"formula": "TiCdIr2Br", "functional": "PBE", "state": "relaxed", "spacegroup": "P4/mmm", "cell": [[4.9261, 0.0000, 0.0000], [0.0000, 4.9261, 0.0000], [0.0000, 0.0000, 5.0455]], "species": ["Ti", "Cd", "Ir", "Ir", "Br"], "fractional_positions": [[0.0000, 0.0000, 0.0000], [0.0000, 0.0000, 0.5000], [0.0000, 0.5000, 0.5000], [0.5000, 0.0000, 0.5000], [0.5000, 0.5000, 0.0000]]}

***

# 4
{"formula": "KCdBr2", "functional": "PBE", "state": "relaxed", "spacegroup": "Fm-3m", "e_above_lowest_polymorph_ev_per_fu": 0.549, "cell": [[0.0000, 3.9284, 3.9284], [3.9284, 0.0000, 3.9284], [3.9284, 3.9284, 0.0000]], "species": ["K", "Cd", "Br", "Br"], "fractional_positions": [[0.0000, 0.0000, 0.0000], [0.5000, 0.5000, 0.5000], [0.2500, 0.2500, 0.2500], [0.7500, 0.7500, 0.7500]]}

***

# 5
{"formula": "KCdBr2", "functional": "PBE", "state": "relaxed", "spacegroup": "P2/m", "e_above_lowest_polymorph_ev_per_fu": 0.331, "cell": [[3.9877, 0.0000, 0.0000], [0.0000, 4.1482, 0.0000], [-0.0201, 0.0000, 8.1803]], "species": ["K", "Cd", "Br", "Br"], "fractional_positions": [[0.0000, 0.0000, 0.0000], [0.5000, 0.0000, 0.5000], [0.4994, 0.5000, 0.7673], [0.5006, 0.5000, 0.2327]]}

***

# 6
{"formula": "K2CdBr5", "functional": "PBE", "state": "relaxed", "spacegroup": "Cmcm", "cell": [[3.0802, -8.2534, 0.0000], [3.0802, 8.2534, 0.0000], [0.0000, 0.0000, 12.6380]], "species": ["K", "K", "K", "K", "Cd", "Cd", "Br", "Br", "Br", "Br", "Br", "Br", "Br", "Br", "Br", "Br"], "fractional_positions": [[0.1646, 0.8354, 0.5887], [0.1646, 0.8354, 0.9113], [0.8354, 0.1646, 0.0887], [0.8354, 0.1646, 0.4113], [0.1725, 0.8275, 0.2500], [0.8275, 0.1725, 0.7500], [0.0298, 0.9702, 0.1221], [0.0298, 0.9702, 0.3779], [0.2887, 0.7113, 0.1014], [0.2887, 0.7113, 0.3986], [0.3223, 0.6777, 0.7500], [0.6777, 0.3223, 0.2500], [0.7113, 0.2887, 0.6014], [0.7113, 0.2887, 0.8986], [0.9702, 0.0298, 0.6221], [0.9702, 0.0298, 0.8779]]}

***

# 7
{"formula": "KCd2Br", "functional": "PBE", "state": "relaxed", "spacegroup": "C2/m", "e_above_lowest_polymorph_ev_per_fu": 0.113, "cell": [[7.1648, -2.1052, 0.0000], [7.1648, 2.1052, 0.0000], [-1.5341, 0.0000, 4.4696]], "species": ["K", "Cd", "Cd", "Br"], "fractional_positions": [[0.0000, 0.0000, 0.0000], [0.2479, 0.2479, 0.7476], [0.7521, 0.7521, 0.2524], [0.5000, 0.5000, 0.5000]]}

***

# 8
{"formula": "KCd2Br6", "functional": "PBE", "state": "relaxed", "spacegroup": "C2/m", "cell": [[6.7404, -2.9829, 0.0000], [6.7404, 2.9829, 0.0000], [-5.9797, 0.0000, 8.0914]], "species": ["K", "Cd", "Cd", "Br", "Br", "Br", "Br", "Br", "Br"], "fractional_positions": [[0.0000, 0.0000, 0.0000], [0.1769, 0.1769, 0.5721], [0.8231, 0.8231, 0.4279], [0.0539, 0.0539, 0.7181], [0.2941, 0.2941, 0.4258], [0.3636, 0.3636, 0.9101], [0.6364, 0.6364, 0.0899], [0.7059, 0.7059, 0.5742], [0.9461, 0.9461, 0.2819]]}

***

# 9
{"formula": "K2CdBr", "functional": "PBE", "state": "relaxed", "spacegroup": "C2/m", "e_above_lowest_polymorph_ev_per_fu": 0.101, "cell": [[3.8785, -2.2270, 0.0000], [3.8785, 2.2270, 0.0000], [-2.5415, 0.0000, 9.6797]], "species": ["K", "K", "Cd", "Br"], "fractional_positions": [[0.2369, 0.2369, 0.2131], [0.7631, 0.7631, 0.7869], [0.0000, 0.0000, 0.5000], [0.5000, 0.5000, 0.0000]]}

***

# 10
{"formula": "KCd2Br5", "functional": "PBE", "state": "relaxed", "spacegroup": "Cmcm", "cell": [[2.9377, -8.4914, 0.0000], [2.9377, 8.4914, 0.0000], [0.0000, 0.0000, 14.0984]], "species": ["K", "K", "Cd", "Cd", "Cd", "Cd", "Br", "Br", "Br", "Br", "Br", "Br", "Br", "Br", "Br", "Br"], "fractional_positions": [[0.0882, 0.9118, 0.7500], [0.9118, 0.0882, 0.2500], [0.2076, 0.7924, 0.0962], [0.2076, 0.7924, 0.4038], [0.7924, 0.2076, 0.5962], [0.7924, 0.2076, 0.9038], [0.0595, 0.9405, 0.1068], [0.0595, 0.9405, 0.3932], [0.2601, 0.7399, 0.5840], [0.2601, 0.7399, 0.9160], [0.3063, 0.6937, 0.2500], [0.6937, 0.3063, 0.7500], [0.7399, 0.2601, 0.0840], [0.7399, 0.2601, 0.4160], [0.9405, 0.0595, 0.6068], [0.9405, 0.0595, 0.8932]]}

***

# 11
{"formula": "KCdBr2", "functional": "PBE", "state": "relaxed", "spacegroup": "Amm2", "e_above_lowest_polymorph_ev_per_fu": 0.033, "cell": [[4.4473, 0.0000, 0.0000], [0.0000, 2.1437, 7.0818], [0.0000, -2.1437, 7.0818]], "species": ["K", "Cd", "Br", "Br"], "fractional_positions": [[0.0000, 0.0000, 0.0000], [0.5000, 0.7714, 0.7714], [0.0000, 0.2992, 0.2992], [0.5000, 0.5708, 0.5708]]}

***

# 12
{"formula": "K2CdBr", "functional": "PBE", "state": "relaxed", "spacegroup": "R3m", "e_above_lowest_polymorph_ev_per_fu": 0.828, "cell": [[2.3534, 1.3587, 10.5846], [-2.3534, 1.3587, 10.5846], [0.0000, -2.7175, 10.5846]], "species": ["K", "K", "Cd", "Br"], "fractional_positions": [[0.0000, 0.0000, 0.0000], [0.2044, 0.2044, 0.2044], [0.7511, 0.7511, 0.7511], [0.4849, 0.4849, 0.4849]]}

***

# 13
{"formula": "K5CdBr8", "functional": "PBE", "state": "relaxed", "spacegroup": "F-43m", "e_above_lowest_polymorph_ev_per_fu": 0.230, "cell": [[0.0000, 6.6745, 6.6745], [6.6745, 0.0000, 6.6745], [6.6745, 6.6745, 0.0000]], "species": ["K", "K", "K", "K", "K", "Cd", "Br", "Br", "Br", "Br", "Br", "Br", "Br", "Br"], "fractional_positions": [[0.0000, 0.0000, 0.0000], [0.1306, 0.6231, 0.6231], [0.6231, 0.1306, 0.6231], [0.6231, 0.6231, 0.1306], [0.6231, 0.6231, 0.6231], [0.2500, 0.2500, 0.2500], [0.3660, 0.3660, 0.3660], [0.3660, 0.3660, 0.9019], [0.3660, 0.9019, 0.3660], [0.4094, 0.8635, 0.8635], [0.8635, 0.4094, 0.8635], [0.8635, 0.8635, 0.4094], [0.8635, 0.8635, 0.8635], [0.9019, 0.3660, 0.3660]]}

***

# 14
{"formula": "K4CdBr6", "functional": "PBE", "state": "relaxed", "spacegroup": "R-3c", "cell": [[6.4712, 3.7361, 5.2921], [-6.4712, 3.7361, 5.2921], [0.0000, -7.4723, 5.2921]], "species": ["K", "K", "K", "K", "K", "K", "K", "K", "Cd", "Cd", "Br", "Br", "Br", "Br", "Br", "Br", "Br", "Br", "Br", "Br", "Br", "Br"], "fractional_positions": [[0.1335, 0.7500, 0.3665], [0.2500, 0.2500, 0.2500], [0.2500, 0.6335, 0.8665], [0.3665, 0.1335, 0.7500], [0.6335, 0.8665, 0.2500], [0.7500, 0.3665, 0.1335], [0.7500, 0.7500, 0.7500], [0.8665, 0.2500, 0.6335], [0.0000, 0.0000, 0.0000], [0.5000, 0.5000, 0.5000], [0.0543, 0.9338, 0.7031], [0.0662, 0.2969, 0.9457], [0.2031, 0.4338, 0.5543], [0.2969, 0.9457, 0.0662], [0.4338, 0.5543, 0.2031], [0.4457, 0.7969, 0.5662], [0.5543, 0.2031, 0.4338], [0.5662, 0.4457, 0.7969], [0.7031, 0.0543, 0.9338], [0.7969, 0.5662, 0.4457], [0.9338, 0.7031, 0.0543], [0.9457, 0.0662, 0.2969]]}

***

# 15
{"formula": "KCd2Br", "functional": "PBE", "state": "relaxed", "spacegroup": "P2/m", "e_above_lowest_polymorph_ev_per_fu": 0.088, "cell": [[4.3627, 0.0000, 0.0000], [0.0000, 7.1642, 0.0000], [-0.0170, 0.0000, 4.4803]], "species": ["K", "Cd", "Cd", "Br"], "fractional_positions": [[0.0000, 0.0000, 0.0000], [0.2575, 0.5000, 0.7426], [0.7425, 0.5000, 0.2574], [0.5000, 0.0000, 0.5000]]}

***

# 16
{"formula": "K2Cd2Br7", "functional": "PBE", "state": "relaxed", "spacegroup": "C2/m", "cell": [[5.5995, -6.0745, 0.0000], [5.5995, 6.0745, 0.0000], [-0.7449, 0.0000, 6.5923]], "species": ["K", "K", "Cd", "Cd", "Br", "Br", "Br", "Br", "Br", "Br", "Br"], "fractional_positions": [[0.2308, 0.7692, 0.0000], [0.7692, 0.2308, 0.0000], [0.2611, 0.2611, 0.5375], [0.7389, 0.7389, 0.4625], [0.0524, 0.4218, 0.7339], [0.1434, 0.1434, 0.1783], [0.4218, 0.0524, 0.7339], [0.5000, 0.5000, 0.5000], [0.5782, 0.9476, 0.2661], [0.8566, 0.8566, 0.8217], [0.9476, 0.5782, 0.2661]]}

***

# 17
{"formula": "KCdBr2", "functional": "PBE", "state": "relaxed", "spacegroup": "R-3m", "e_above_lowest_polymorph_ev_per_fu": 0.529, "cell": [[2.3400, 1.3510, 9.2035], [-2.3400, 1.3510, 9.2035], [0.0000, -2.7019, 9.2035]], "species": ["K", "Cd", "Br", "Br"], "fractional_positions": [[0.0000, 0.0000, 0.0000], [0.5000, 0.5000, 0.5000], [0.4010, 0.4010, 0.4010], [0.5990, 0.5990, 0.5990]]}

***

# 18
{"formula": "KCdBr2", "functional": "PBE", "state": "relaxed", "spacegroup": "Immm", "e_above_lowest_polymorph_ev_per_fu": 0.447, "cell": [[-2.5044, 3.2498, 4.0349], [2.5044, -3.2498, 4.0349], [2.5044, 3.2498, -4.0349]], "species": ["K", "Cd", "Br", "Br"], "fractional_positions": [[0.0000, 0.0000, 0.0000], [0.5000, 0.5000, 0.0000], [0.2818, 0.7818, 0.5000], [0.7182, 0.2182, 0.5000]]}

***

# 19
{"formula": "KCd2Br", "functional": "PBE", "state": "relaxed", "spacegroup": "Cmmm", "e_above_lowest_polymorph_ev_per_fu": 0.757, "cell": [[3.0008, -5.6208, 0.0000], [3.0008, 5.6208, 0.0000], [0.0000, 0.0000, 4.1798]], "species": ["K", "Cd", "Cd", "Br"], "fractional_positions": [[0.0000, 0.0000, 0.0000], [0.0000, 0.5000, 0.5000], [0.5000, 0.0000, 0.5000], [0.5000, 0.5000, 0.0000]]}

***

# 20
{"formula": "K2CdBr", "functional": "PBE", "state": "relaxed", "spacegroup": "F-43m", "e_above_lowest_polymorph_ev_per_fu": 1.381, "cell": [[0.0000, 4.2996, 4.2996], [4.2996, 0.0000, 4.2996], [4.2996, 4.2996, 0.0000]], "species": ["K", "K", "Cd", "Br"], "fractional_positions": [[0.0000, 0.0000, 0.0000], [0.2500, 0.2500, 0.2500], [0.5000, 0.5000, 0.5000], [0.7500, 0.7500, 0.7500]]}

***

The evaluated formation energy from raw total energies for the records listed, in turn: 0.178 2.576 1.873 -0.883 -0.938 -1.071 -0.598 -0.872 -0.774 -1.003 -1.012 -0.593 -1.322 -1.507 -0.604 -1.005 -0.889 -0.909 -0.437 -0.454 eV per atom.
The evaluated spin magnetization for the records listed, in turn: 0.00 8.72 0.01 0.00 0.00 0.20 0.00 1.04 0.00 0.00 0.00 0.00 1.38 0.00 0.00 1.03 0.00 0.00 0.00 0.00 Bohr magnetons per cell.
The evaluated energy for the records listed, in turn: -15.72 -19.30 -18.84 -8.89 -9.11 -20.04 -6.99 -20.81 -7.88 -19.32 -9.41 -7.15 -38.29 -31.92 -7.02 -26.79 -8.91 -8.99 -6.35 -6.60 eV per formula unit.